Entry from Alexandria via LeMat-Bulk: Be2IrRuSe after structural relaxation (PBE).

Structure (POSCAR):
```
Be2IrRuSe
1.0
4.1190 0.0000 0.0000
0.0000 4.5852 0.0000
0.0000 0.0000 4.1190
Be Ir Se Ru
2 1 1 1
Direct
0.5000 0.0000 0.0000
0.0000 0.0000 0.5000
0.5000 0.5000 0.5000
0.0000 0.5000 0.0000
0.0000 0.0000 0.0000
```

- Symmetry: No. 123
- N(E_F): 3.0 states/eV/cell


Entry from Alexandria via LeMat-Bulk: Sc2ReC after structural relaxation (PBE).

Structure (POSCAR):
```
Sc2ReC
1.0
8.5773 0.0000 0.0000
0.0000 8.5773 0.0000
4.2887 4.2887 1.9904
C Re Sc
2 2 4
Direct
0.2500 0.7500 0.5000
0.5000 0.5000 0.0000
0.7500 0.2500 0.5000
0.0000 0.0000 0.0000
0.2812 0.6250 0.2500
0.8750 0.7188 0.7500
0.3750 0.5312 0.7500
0.4688 0.1250 0.2500
```

- Symmetry: No. 122
- Calculated formation energy: 10 meV/atom
- N(E_F): 3.6 states/eV/cell


Entry from Alexandria via LeMat-Bulk: Ba4LiNp3O12 after structural relaxation (PBE).

Structure (POSCAR):
```
Ba4LiNp3O12
1.0
-1.7561 7.2487 1.1817
-0.2083 -3.7416 6.5561
6.9394 -0.4614 -2.9422
Ba Np O Li
4 3 12 1
Direct
0.5000 0.5000 0.5000
0.0000 0.0000 0.5000
0.0000 0.5000 0.0000
0.5000 0.0000 0.0000
0.5000 0.0000 0.5000
0.5000 0.5000 0.0000
0.0000 0.5000 0.5000
0.0000 0.2676 0.2676
0.7500 0.2500 0.5000
0.5000 0.7500 0.2500
0.7324 0.7324 0.0000
0.2676 0.0000 0.2676
0.2500 0.7500 0.5000
0.0000 0.7324 0.7324
0.5000 0.2500 0.7500
0.7500 0.5000 0.2500
0.7324 0.0000 0.7324
0.2676 0.2676 0.0000
0.2500 0.5000 0.7500
0.0000 0.0000 0.0000
```

- Symmetry: No. 229
- N(E_F): 6.1 states/eV/cell


Entry from Alexandria via LeMat-Bulk: Nd2Tm3Sn4 after structural relaxation (PBE).

Structure (POSCAR):
```
Nd2Tm3Sn4
1.0
-0.1564 5.7719 -3.8880
4.0462 -4.3431 -6.6102
-7.5121 -5.1980 -1.1830
Nd Sn Tm
4 8 6
Direct
0.6111 0.9117 0.2222
0.8889 0.4117 0.7778
0.1111 0.5883 0.2222
0.3889 0.0883 0.7778
0.6864 0.5543 0.3728
0.2177 0.7500 0.9354
0.7177 0.7500 0.9354
0.2823 0.2500 0.0646
0.8136 0.0543 0.6272
0.3136 0.4457 0.6272
0.7823 0.2500 0.0646
0.1864 0.9457 0.3728
0.5000 0.5000 0.0000
0.9575 0.2500 0.4149
0.5425 0.7500 0.5851
0.4575 0.2500 0.4149
0.0425 0.7500 0.5851
0.0000 0.0000 0.0000
```

- Relative energy among the computed polymorphs: 158.0 meV/atom
- Symmetry: No. 64
- Calculated formation energy: -619 meV/atom
- N(E_F): 9.5 states/eV/cell


Entry from Alexandria via LeMat-Bulk: NbSi3As after structural relaxation (PBE).

Structure (POSCAR):
```
NbSi3As
1.0
4.6602 0.0000 0.0000
0.0000 4.6602 0.0000
0.0000 0.0000 4.6602
As Nb Si
1 1 3
Direct
0.0000 0.0000 0.0000
0.5000 0.5000 0.5000
0.0000 0.5000 0.0000
0.5000 0.0000 0.0000
0.0000 0.0000 0.5000
```

- Relative energy among the computed polymorphs: 343.6 meV/atom
- Symmetry: No. 221
- N(E_F): 5.6 states/eV/cell


Entry from Alexandria via LeMat-Bulk: K2TlNi after structural relaxation (PBE).

Structure (POSCAR):
```
K2TlNi
1.0
-3.4401 0.7572 10.8140
-2.2383 -2.6645 10.8277
0.0774 0.0729 11.3727
K Ni Tl
2 1 1
Direct
0.5117 0.5117 0.5117
0.9883 0.9883 0.9883
0.2500 0.2500 0.2500
0.7500 0.7500 0.7500
```

- Relative energy among the computed polymorphs: 424.3 meV/atom
- Symmetry: No. 166
- Calculated formation energy: 593 meV/atom
- N(E_F): 2.0 states/eV/cell


Table of calculated total energy (Ry per atom), in record order: -0.3589, -0.6301, -0.6105, -0.3637, -0.3608, -0.1465